# 1
Material: LaSnPt
Method: DFT, PBE
State: optimized geometry

## Properties
ΔH_f (0 K) in eV per atom: -1.03
Volume in A^3/atom: 24.967

Lattice parameters (Å, degrees): 3.843 4.744 4.744 120.00 90.00 90.00
Sites, in units of the cell vectors:
La  0.667  0.667  0.333
Pt  0.167  0.000  0.000
Sn  0.167  0.333  0.667


# 2
Material: AcHoNi
Method: DFT, PBE
State: optimized geometry

## Properties
ΔH_f (0 K) in eV per atom: -0.13
Volume in A^3/atom: 30.841
ΔE to the lowest computed polymorph in meV/atom: 4

Lattice parameters (Å, degrees): 6.388 4.089 4.089 120.00 90.00 90.00
Sites, in units of the cell vectors:
Ni  0.980  0.000  0.000
Ho  0.769  0.667  0.333
Ac  0.252  0.333  0.667


# 3
Material: GdMgTe2
Method: DFT, PBE
State: optimized geometry

## Properties
Volume in A^3/atom: 28.886
Formation energy without anion corrections in meV/atom: -1055.7

Lattice parameters (Å, degrees): 4.222 4.222 7.872 74.45 74.45 60.00
Site moments in Bohr magnetons follow the coordinates.
Sites, in units of the cell vectors:
Te  0.256  0.256  0.232  -0.02
Gd  0.500  0.500  0.500  7.06
Te  0.744  0.744  0.768  -0.02
Mg  0.000  0.000  0.000  0.02


# 4
Material: La14HoPu
Method: DFT, PBE
State: optimized geometry

## Properties
ΔH_f (0 K) in eV per atom: 0.03
Volume in A^3/atom: 35.400

Lattice parameters (Å, degrees): 7.371 7.371 10.426 90.00 90.00 90.01
Site moments in Bohr magnetons follow the coordinates.
Sites, in units of the cell vectors:
La  0.623  0.377  0.252  0.03
La  0.374  0.626  0.500  -0.01
La  0.382  0.136  0.000  0.05
La  0.367  0.118  0.500  0.00
Ho  0.874  0.126  0.000  -0.06
La  0.622  0.872  0.757  0.04
La  0.864  0.618  0.000  0.05
La  0.623  0.377  0.748  0.03
La  0.128  0.378  0.757  0.04
La  0.128  0.378  0.243  0.04
Pu  0.375  0.625  0.000  5.62
La  0.882  0.633  0.500  0.00
La  0.130  0.870  0.234  0.04
La  0.130  0.870  0.766  0.04
La  0.622  0.872  0.243  0.04
La  0.875  0.125  0.500  -0.01